Entry from Alexandria via LeMat-Bulk: crystalline Ac3MgB2N6 at its relaxed geometry (GGA-PBE).

Cell and atoms, written as POSCAR:
```
Ac3MgB2N6
1.0
-0.5722 -3.4589 -4.4147
1.3590 -2.0863 5.0578
-6.3002 -0.7327 1.3906
B N Ac Mg
2 6 3 1
Cartesian
-4.5761 -3.5418 -0.2314
-0.9373 -2.7360 2.2651
-4.7093 -3.7293 -1.6849
-0.8041 -2.5485 3.7186
-1.0613 -4.1030 1.7345
-1.4149 -1.6109 1.4455
-4.4521 -2.1748 0.2992
-4.0985 -4.6669 0.5882
-3.5082 -3.0350 2.8326
0.0000 0.0000 0.0000
-2.0051 -3.2428 -0.7988
-3.1501 -0.3663 0.6953
```

## Properties
* electronic total energy: -7.44 eV/atom
* DOS(E_F): 6.3 states/eV/cell
* volume: 178.7 Å³/cell
* M_tot: 0.00 μB/f.u.
* formation energy without anion corrections: -1001 meV per atom
* crystal system: trigonal


Entry from Alexandria via LeMat-Bulk: crystalline Pm5AgHg2Rh2 at its relaxed geometry (GGA-PBE).

Cell and atoms, written as POSCAR:
```
Pm5AgHg2Rh2
1.0
-0.3446 0.9333 -3.6351
-2.8255 -11.2368 -2.6173
-11.4864 2.4859 1.7272
Pm Hg Ag Rh
10 4 2 4
Cartesian
-1.5850 -5.1517 -3.1262
-6.9120 -6.3701 -2.9340
-9.8685 -4.3717 -2.1406
-9.6013 1.4946 -0.6597
-7.7445 -1.4474 -1.5911
-5.0551 -9.3122 -3.8654
-5.9155 1.7096 -0.9539
-12.9369 -6.2478 -2.3314
-1.7195 -1.5698 -2.1937
-4.7879 -3.4459 -2.3845
-10.0606 -7.6299 -1.0052
-3.8782 -7.1259 -1.4620
-4.2512 -1.1210 0.1152
-10.4336 -1.6250 0.5719
0.0000 0.0000 0.0000
-7.1559 -4.3755 -0.4450
-7.6179 0.0967 0.7470
-2.5472 -3.8209 -0.7396
-6.6940 -8.8476 -1.6371
-11.7646 -4.9300 -0.1505
```

## Properties
* electronic total energy: -4.66 eV/atom
* DOS(E_F): 15.0 states/eV/cell
* volume: 531.8 Å³/cell
* M_tot: 0.00 μB/f.u.
* calculated formation energy: -4.6 eV/f.u.
* crystal system: tetragonal


Entry from Alexandria via LeMat-Bulk: crystalline La8Ge3Br4N at its relaxed geometry (GGA-PBE).

Cell and atoms, written as POSCAR:
```
La8Ge3Br4N
1.0
-4.7040 -4.3532 -5.5622
-4.1166 -4.2287 6.7910
-0.1007 8.4852 -0.0820
Br Ge La N
4 3 8 1
Cartesian
-2.4024 2.0660 -2.8221
0.0000 0.0000 0.0000
-2.3520 -2.1766 -2.7811
-0.0504 4.2426 -0.0410
-4.4103 -4.2910 0.6144
-2.1087 2.1283 3.3545
-4.4607 -0.0484 0.5734
-3.9463 -0.2276 3.5155
-3.9987 4.4456 3.4703
-2.4302 2.0962 0.4146
-2.3301 -2.1431 0.7420
-6.5912 2.0464 0.4048
-6.4912 -2.1929 0.7322
-4.9227 -4.5423 -2.3235
-4.9751 0.1308 -2.3687
-2.0583 -2.1144 3.3955
```

## Properties
* electronic total energy: -5.52 eV/atom
* DOS(E_F): 9.5 states/eV/cell
* volume: 470.5 Å³/cell
* M_tot: 0.00 μB/f.u.
* formation energy without anion corrections: -1248 meV per atom
* crystal system: trigonal


Entry from Alexandria via LeMat-Bulk: crystalline YAlSe3 at its relaxed geometry (GGA-PBE).

Cell and atoms, written as POSCAR:
```
YAlSe3
1.0
3.5163 -10.3601 0.0000
3.5163 10.3601 0.0000
0.0000 0.0000 5.0307
Se Y Al
6 2 2
Cartesian
1.8670 3.7742 3.7730
5.1655 3.7742 3.7730
0.0000 0.0000 0.0000
5.1655 -3.7742 1.2577
0.0000 0.0000 2.5153
1.8670 -3.7742 1.2577
3.5163 -4.4723 3.7730
3.5163 4.4723 1.2577
3.5163 -8.2117 3.7730
3.5163 8.2117 1.2577
```

## Properties
* electronic total energy: -4.99 eV/atom
* DOS(E_F): 2.0 states/eV/cell
* volume: 366.5 Å³/cell
* energy relative to the lowest polymorph listed for this composition: 0.512 eV/atom
* M_tot: 0.00 μB/f.u.
* formation energy without anion corrections: -859 meV per atom
* crystal system: orthorhombic


Entry from Alexandria via LeMat-Bulk: crystalline Mn2CuRe at its relaxed geometry (GGA-PBE).

Cell and atoms, written as POSCAR:
```
Mn2CuRe
1.0
4.0976 0.0000 0.0000
0.0000 2.5618 0.0297
0.0000 1.0407 4.8733
Mn Re Cu
2 1 1
Cartesian
2.0488 0.8385 1.2528
0.0000 1.0688 4.8331
0.0000 1.7518 2.3793
2.0488 2.7854 3.7625
```

## Properties
* electronic total energy: -8.48 eV/atom
* DOS(E_F): 4.7 states/eV/cell
* volume: 51.0 Å³/cell
* energy relative to the lowest polymorph listed for this composition: 0.106 eV/atom
* M_tot: 3.63 μB/f.u.
* calculated formation energy: 1.0 eV/f.u.
* crystal system: monoclinic


Entry from Alexandria via LeMat-Bulk: crystalline Cd4Os at its relaxed geometry (GGA-PBE).

Cell and atoms, written as POSCAR:
```
Cd4Os
1.0
5.2380 0.0000 0.0000
0.0000 5.2380 0.0000
0.0000 0.0000 5.2380
Cd Os
4 1
Cartesian
0.0000 2.6190 2.6190
0.0000 0.0000 0.0000
2.6190 2.6190 0.0000
2.6190 0.0000 2.6190
2.6190 2.6190 2.6190
```

## Properties
* electronic total energy: -2.19 eV/atom
* DOS(E_F): 5.3 states/eV/cell
* volume: 143.7 Å³/cell
* M_tot: 0.79 μB/f.u.
* calculated formation energy: 3.9 eV/f.u.
* crystal system: cubic


Entry from Alexandria via LeMat-Bulk: crystalline CoCuAu2 at its relaxed geometry (GGA-PBE).

Cell and atoms, written as POSCAR:
```
CoCuAu2
1.0
4.6743 0.0946 0.0000
-0.9565 4.5763 0.0000
0.0000 0.0000 2.7834
Au Cu Co
2 1 1
Cartesian
1.8589 2.3355 0.0000
0.0000 0.0000 0.0000
-0.4783 2.2882 1.3917
2.3371 0.0473 1.3917
```

## Properties
* electronic total energy: -4.30 eV/atom
* DOS(E_F): 4.0 states/eV/cell
* volume: 59.8 Å³/cell
* M_tot: 1.76 μB/f.u.
* calculated formation energy: 0.5 eV/f.u.
* crystal system: orthorhombic